No. 1
First-principles (PBE-GGA) data for an optimized crystal structure of POsPt2S, as listed in Alexandria.

Unit cell a=4.4201 b=4.4201 c=4.3619 alpha=90.00 beta=90.00 gamma=90.00
Positions (direct):
1 P 0.0000 0.0000 0.0000
2 Os 0.5000 0.5000 0.0000
3 Pt 0.0000 0.5000 0.5000
4 Pt 0.5000 0.0000 0.5000
5 S 0.0000 0.0000 0.5000

Values from the calculation:
The calculation puts the formation energy from raw total energies at 1.240 eV/atom.

No. 2
First-principles (PBE-GGA) data for an optimized crystal structure of POsPtS2, as listed in Alexandria.

Unit cell a=4.4027 b=4.4027 c=5.0058 alpha=90.00 beta=90.00 gamma=90.00
Positions (direct):
1 P 0.0000 0.0000 0.0000
2 Os 0.0000 0.0000 0.5000
3 Pt 0.5000 0.5000 0.0000
4 S 0.0000 0.5000 0.5000
5 S 0.5000 0.0000 0.5000

Values from the calculation:
As for the energy above the most stable polymorph in this dataset: 0 meV per atom. The calculation puts the formation energy from raw total energies at 0.989 eV/atom.

No. 3
First-principles (PBE-GGA) data for an optimized crystal structure of POsPtS2, as listed in Alexandria.

Unit cell a=4.6191 b=4.6191 c=4.5147 alpha=90.00 beta=90.00 gamma=90.00
Positions (direct):
1 P 0.0000 0.0000 0.0000
2 Os 0.5000 0.5000 0.0000
3 Pt 0.0000 0.0000 0.5000
4 S 0.0000 0.5000 0.5000
5 S 0.5000 0.0000 0.5000

Values from the calculation:
As for the energy above the most stable polymorph in this dataset: 536 meV per atom. The calculation puts the formation energy from raw total energies at 1.525 eV/atom.

No. 4
First-principles (PBE-GGA) data for an optimized crystal structure of P2OsPtS, as listed in Alexandria.

Unit cell a=4.4275 b=4.4275 c=4.9677 alpha=90.00 beta=90.00 gamma=90.00
Positions (direct):
1 P 0.0000 0.5000 0.0000
2 P 0.5000 0.0000 0.0000
3 Os 0.0000 0.0000 0.0000
4 Pt 0.5000 0.5000 0.5000
5 S 0.0000 0.0000 0.5000

Values from the calculation:
As for the energy above the most stable polymorph in this dataset: 0 meV per atom. The calculation puts the formation energy from raw total energies at 0.942 eV/atom.

No. 5
First-principles (PBE-GGA) data for an optimized crystal structure of SrPOs2Pt, as listed in Alexandria.

Unit cell a=4.8436 b=4.8436 c=4.9978 alpha=90.00 beta=90.00 gamma=90.00
Positions (direct):
1 Sr 0.0000 0.0000 0.0000
2 P 0.0000 0.0000 0.5000
3 Os 0.0000 0.5000 0.0000
4 Os 0.5000 0.0000 0.0000
5 Pt 0.5000 0.5000 0.5000

Values from the calculation:
The calculation puts the formation energy at 3.263 eV per atom.

No. 6
First-principles (PBE-GGA) data for an optimized crystal structure of PuP2Os, as listed in Alexandria.

Unit cell a=5.6708 b=5.6708 c=5.6708 alpha=39.92 beta=39.92 gamma=39.92
Positions (direct):
1 Pu 0.0000 0.0000 0.0000
2 P 0.2308 0.2308 0.2308
3 P 0.7692 0.7692 0.7692
4 Os 0.5000 0.5000 0.5000

Values from the calculation:
The calculation puts the formation energy at -0.737 eV per atom.

No. 7
First-principles (PBE-GGA) data for an optimized crystal structure of RbP2Os, as listed in Alexandria.

Unit cell a=6.9864 b=6.9864 c=6.9864 alpha=120.85 beta=120.85 gamma=88.54
Positions (direct):
1 Rb 0.0000 0.0000 0.0000
2 Rb 0.7500 0.2500 0.5000
3 P 0.2863 0.6250 0.1613
4 P 0.3750 0.5363 0.6613
5 P 0.4637 0.1250 0.8387
6 P 0.8750 0.7137 0.3387
7 Os 0.2500 0.7500 0.5000
8 Os 0.5000 0.5000 0.0000

Values from the calculation:
As for the energy above the most stable polymorph in this dataset: 0 meV per atom. The calculation puts the formation energy at -0.172 eV per atom.

No. 8
First-principles (PBE-GGA) data for an optimized crystal structure of RbP3Os, as listed in Alexandria.

Unit cell a=4.7695 b=4.7695 c=4.7695 alpha=90.00 beta=90.00 gamma=90.00
Positions (direct):
1 Rb 0.0000 0.0000 0.0000
2 P 0.0000 0.5000 0.5000
3 P 0.5000 0.0000 0.5000
4 P 0.5000 0.5000 0.0000
5 Os 0.5000 0.5000 0.5000

Values from the calculation:
As for the energy above the most stable polymorph in this dataset: 0 meV per atom. The calculation puts the formation energy at 0.469 eV per atom.

Number 1: DOS at the Fermi energy 0.75 states/eV/atom. Number 2: DOS at the Fermi energy 1.00 states/eV/atom. Number 3: DOS at the Fermi energy 1.21 states/eV/atom. Number 4: DOS at the Fermi energy 0.92 states/eV/atom. Number 5: DOS at the Fermi energy 1.24 states/eV/atom. Number 6: DOS at the Fermi energy 2.40 states/eV/atom. Number 7: DOS at the Fermi energy 0.38 states/eV/atom. Number 8: DOS at the Fermi energy 1.18 states/eV/atom.